No. 1
# TiReTeI2

A relaxed structure of TiReTeI2 (PBE-GGA, Alexandria).

Cell and atoms, written as POSCAR:
```
TiReTeI2
1.0
5.569 0.000 0.000
0.000 5.569 0.000
0.000 0.000 5.357
I Re Te Ti
2 1 1 1
Direct
0.000 0.500 0.000 I
0.500 0.000 0.000 I
0.500 0.500 0.500 Re
0.000 0.000 0.500 Te
0.000 0.000 0.000 Ti
```

Properties
Energy relative to the elements, uncorrected in eV per atom: 1.013
Volume in Å³ per cell: 166.1
Symmetry: No. 123
DFT total energy in eV per formula unit: -21.52

---

No. 2
# TlReTeI2

A relaxed structure of TlReTeI2 (PBE-GGA, Alexandria).

Cell and atoms, written as POSCAR:
```
TlReTeI2
1.0
-0.808 -3.087 -4.828
3.677 -4.020 1.954
-3.861 -2.455 2.216
I Re Tl Te
2 1 1 1
Direct
0.000 0.500 0.000 I
0.500 0.000 0.000 I
0.000 0.000 0.000 Re
0.500 0.500 0.500 Tl
0.000 0.000 0.500 Te
```

Properties
Energy relative to the elements, uncorrected in eV per atom: 0.354
Volume in Å³ per cell: 170.3
Symmetry: No. 123
DFT total energy in eV per formula unit: -19.29
Relative energy among the computed polymorphs in kJ/mol of atoms: 0.0

---

No. 3
# TlReTe2I

A relaxed structure of TlReTe2I (PBE-GGA, Alexandria).

Cell and atoms, written as POSCAR:
```
TlReTe2I
1.0
5.210 0.000 0.000
0.000 5.210 0.000
0.000 0.000 5.996
I Re Tl Te
1 1 1 2
Direct
0.000 0.000 0.500 I
0.000 0.000 0.000 Re
0.500 0.500 0.500 Tl
0.000 0.500 0.000 Te
0.500 0.000 0.000 Te
```

Properties
Energy relative to the elements, uncorrected in eV per atom: 0.367
Volume in Å³ per cell: 162.7
Symmetry: No. 123
DFT total energy in eV per formula unit: -20.81
Relative energy among the computed polymorphs in kJ/mol of atoms: 0.0

---

No. 4
# VReTe2I

A relaxed structure of VReTe2I (PBE-GGA, Alexandria).

Cell and atoms, written as POSCAR:
```
VReTe2I
1.0
-3.330 -3.440 2.156
3.869 -1.843 3.034
-1.301 3.714 3.917
I Re Te V
1 1 2 1
Direct
0.000 0.000 0.500 I
0.500 0.500 0.500 Re
0.000 0.500 0.000 Te
0.500 0.000 0.000 Te
0.000 0.000 0.000 V
```

Properties
Energy relative to the elements, uncorrected in eV per atom: 1.263
Volume in Å³ per cell: 153.1
Symmetry: No. 123
DFT total energy in eV per formula unit: -23.09
Relative energy among the computed polymorphs in kJ/mol of atoms: 0.0

---

No. 5
# VReTe2I

A relaxed structure of VReTe2I (PBE-GGA, Alexandria).

Cell and atoms, written as POSCAR:
```
VReTe2I
1.0
-5.710 1.631 0.521
-0.796 -1.308 -4.621
-1.408 -5.505 1.801
I Re Te V
1 1 2 1
Direct
0.000 0.000 0.000 I
0.500 0.500 0.500 Re
0.000 0.000 0.500 Te
0.500 0.000 0.000 Te
0.000 0.500 0.000 V
```

Properties
Energy relative to the elements, uncorrected in eV per atom: 2.267
Volume in Å³ per cell: 173.0
Symmetry: No. 123
DFT total energy in eV per formula unit: -18.07
Relative energy among the computed polymorphs in kJ/mol of atoms: 96.9

---

No. 6
# YReTeI2

A relaxed structure of YReTeI2 (PBE-GGA, Alexandria).

Cell and atoms, written as POSCAR:
```
YReTeI2
1.0
5.444 0.000 0.000
0.000 5.444 0.000
0.000 0.000 5.181
I Re Te Y
2 1 1 1
Direct
0.000 0.500 0.000 I
0.500 0.000 0.000 I
0.000 0.000 0.000 Re
0.000 0.000 0.500 Te
0.500 0.500 0.500 Y
```

Properties
Energy relative to the elements, uncorrected in eV per atom: 0.480
Volume in Å³ per cell: 153.5
Symmetry: No. 123
DFT total energy in eV per formula unit: -22.75
Relative energy among the computed polymorphs in kJ/mol of atoms: 0.0